Record 1
Te2RuAu: relaxed, GGA-PBEsol.

Computed properties:
**Theoretical density**: 10742 kg/m3
**Calculated total energy**: -0.19007 hartree per atom
**Crystal system**: trigonal
**Energy above the lowest structure with this stoichiometry**: 0.000 eV per atom

```
data_Te2RuAu
_symmetry_space_group_name_H-M 'R -3 m'
_symmetry_Int_Tables_number 166
_symmetry_space_group_name_Hall '-R 3 2"'
_cell_length_a 3.7258
_cell_length_b 3.7258
_cell_length_c 21.3417
_cell_angle_alpha 90.00
_cell_angle_beta 90.00
_cell_angle_gamma 120.00
loop_
_atom_site_label
_atom_site_type_symbol
_atom_site_fract_x
_atom_site_fract_y
_atom_site_fract_z
_atom_site_occupancy
Te1 Te 0.0000 0.0000 0.2394 1
Ru1 Ru 0.0000 0.0000 0.5000 1
Au1 Au 0.0000 0.0000 0.0000 1
```

***

Record 2
TeRu2Au: relaxed, GGA-PBEsol.

Computed properties:
**Theoretical density**: 13743 kg/m3
**Calculated total energy**: -0.24017 hartree per atom
**Crystal system**: tetragonal

```
data_TeRu2Au
_symmetry_space_group_name_H-M 'P 4/m m m'
_symmetry_Int_Tables_number 123
_symmetry_space_group_name_Hall '-P 4 2'
_cell_length_a 4.2601
_cell_length_b 4.2601
_cell_length_c 3.5066
_cell_angle_alpha 90.00
_cell_angle_beta 90.00
_cell_angle_gamma 90.00
loop_
_atom_site_label
_atom_site_type_symbol
_atom_site_fract_x
_atom_site_fract_y
_atom_site_fract_z
_atom_site_occupancy
Te1 Te 0.0000 0.0000 0.0000 1
Ru1 Ru 0.0000 0.5000 0.5000 1
Au1 Au 0.5000 0.5000 0.0000 1
```

***

Record 3
TlRuAu2: relaxed, GGA-PBEsol.

Computed properties:
**Theoretical density**: 16642 kg/m3
**Calculated total energy**: -0.17498 hartree per atom
**Crystal system**: orthorhombic
**Energy above the lowest structure with this stoichiometry**: 0.000 eV per atom

```
data_TlRuAu2
_symmetry_space_group_name_H-M 'C m m m'
_symmetry_Int_Tables_number 65
_symmetry_space_group_name_Hall '-C 2 2'
_cell_length_a 5.5363
_cell_length_b 8.1390
_cell_length_c 3.0974
_cell_angle_alpha 90.00
_cell_angle_beta 90.00
_cell_angle_gamma 90.00
loop_
_atom_site_label
_atom_site_type_symbol
_atom_site_fract_x
_atom_site_fract_y
_atom_site_fract_z
_atom_site_occupancy
Tl1 Tl 0.0000 0.0000 0.0000 1
Ru1 Ru 0.0000 0.5000 0.0000 1
Au1 Au 0.2500 0.2500 0.5000 1
```

***

Record 4
TlRuAu2: relaxed, GGA-PBEsol.

Computed properties:
**Theoretical density**: 16473 kg/m3
**Calculated total energy**: -0.17462 hartree per atom
**Crystal system**: monoclinic
**Energy above the lowest structure with this stoichiometry**: 0.010 eV per atom

```
data_TlRuAu2
_symmetry_space_group_name_H-M 'C 1 2/m 1'
_symmetry_Int_Tables_number 12
_cell_length_a 5.5257
_cell_length_b 10.1358
_cell_length_c 2.9452
_cell_angle_alpha 90.00
_cell_angle_beta 121.26
_cell_angle_gamma 90.00
loop_
_symmetry_equiv_pos_as_xyz
'x,y,z'
'-x,-y,-z'
'-x,y,-z'
'x,-y,z'
'x+1/2,y+1/2,z'
'-x+1/2,-y+1/2,-z'
'-x+1/2,y+1/2,-z'
'x+1/2,-y+1/2,z'
loop_
_atom_site_label
_atom_site_type_symbol
_atom_site_fract_x
_atom_site_fract_y
_atom_site_fract_z
_atom_site_occupancy
Tl1 Tl 0.0000 0.0000 0.0000 1
Ru1 Ru 0.0000 0.5000 0.0000 1
Au1 Au 0.2500 0.2500 0.5000 1
```

***

Magnetic moment values, unit μB/cell, following the record order: 0.0; 0.0; 0.0; 1.5.